This record from OQMD describes Na2CoSi4O10 after structural relaxation. The functional is PBE+U.

Lattice parameters (Å, degrees): 6.9203 7.6307 9.7656 101.40 102.77 115.87
Last column: nearest neighbours and their distance in Å.
Atoms (fractional coordinates):
Na 0.1624 0.2593 0.4835  5 O 2.32-2.59
Na 0.2365 0.7704 0.9239  4 O 2.31-2.45
Na 0.7635 0.2296 0.0761  4 O 2.31-2.45
Na 0.8376 0.7407 0.5165  5 O 2.32-2.59
Co 0.2579 0.1948 0.0782  5 O 2.01-2.15
Co 0.7421 0.8052 0.9218  5 O 2.01-2.15
Si 0.1083 0.8622 0.2392  4 O 1.60-1.64
Si 0.2559 0.5569 0.3027  4 O 1.59-1.65
Si 0.3107 0.1203 0.7471  4 O 1.59-1.66
Si 0.4015 0.7816 0.6388  4 O 1.59-1.65
Si 0.5985 0.2184 0.3612  4 O 1.59-1.65
Si 0.6893 0.8797 0.2529  4 O 1.59-1.66
Si 0.7441 0.4431 0.6973  4 O 1.59-1.65
Si 0.8917 0.1378 0.7608  4 O 1.60-1.64
O 0.0662 0.8923 0.0798  1 Si 1.60
O 0.0742 0.1275 0.6811  2 Si 1.64-1.65
O 0.0888 0.6362 0.2229  2 Si 1.64-1.65
O 0.1480 0.3156 0.2251  1 Si 1.59
O 0.2412 0.8910 0.6369  2 Si 1.65-1.66
O 0.2749 0.5920 0.4788  2 Si 1.64-1.65
O 0.3536 0.0463 0.3662  2 Si 1.64-1.65
O 0.3937 0.1471 0.9189  1 Si 1.59
O 0.4287 0.6994 0.7749  1 Si 1.59
O 0.4853 0.2980 0.6945  2 Si 1.63-1.64
O 0.5147 0.7020 0.3055  2 Si 1.63-1.64
O 0.5713 0.3006 0.2251  1 Si 1.59
O 0.6063 0.8529 0.0811  1 Si 1.59
O 0.6464 0.9537 0.6338  2 Si 1.64-1.65
O 0.7251 0.4080 0.5212  2 Si 1.64-1.65
O 0.7588 0.1090 0.3631  2 Si 1.65-1.66
O 0.8520 0.6844 0.7749  1 Si 1.59
O 0.9112 0.3638 0.7771  2 Si 1.64-1.65
O 0.9258 0.8725 0.3189  2 Si 1.64-1.65
O 0.9338 0.1077 0.9202  1 Si 1.60

Calculated values
Total DFT energy (no corrections)   -7.0835 eV/atom